Crystalline Li2Ni3SnO8 at its relaxed geometry. Source: Alexandria, functional PBEsol.

Computed properties:
relative energy among the computed polymorphs	0.16	eV/f.u.
uncorrected formation energy	-1.2653	eV per atom

Cell: 5.7611 5.7611 14.6456 Å, 90.00 90.00 120.00°
Space group R-3m (No. 166, hexagonal axes)
Inequivalent atoms, fractional coordinates:
Li: 0.0000 0.0000 0.1193 x6
Ni: 0.0000 0.5000 0.0000 x9
Sn: 0.0000 0.0000 0.5000 x3
O: 0.0000 0.0000 0.2651 x6
O: 0.0260 0.5130 0.2613 x18


Crystalline BaMg2W at its relaxed geometry. Source: Alexandria, functional PBEsol.

Computed properties:
relative energy among the computed polymorphs	1.18	eV/f.u.

Cell: 3.015 5.624 11.218 Å, 90.00 90.00 90.00°
Space group Imm2 (No. 44)
Inequivalent atoms, fractional coordinates:
Ba: 0.000 0.000 0.000 x2
Mg: 0.000 0.000 0.458 x2
Mg: 0.000 0.500 0.214 x2
W: 0.000 0.500 0.750 x2


Crystalline Sn2BPt2 at its relaxed geometry. Source: Alexandria, functional PBEsol.

Cell: 5.442 5.442 6.588 Å, 90.00 90.00 90.00°
Space group I4/mmm (No. 139)
Inequivalent atoms, fractional coordinates:
Sn: 0.000 0.500 0.250 x4
B: 0.000 0.000 0.000 x2
Pt: 0.000 0.000 0.293 x4


Crystalline Ti3V2CoP6O24 at its relaxed geometry. Source: Alexandria, functional PBEsol.

Computed properties:
uncorrected formation energy	-2.3088	eV per atom

Cell: 8.5910 8.5910 20.1692 Å, 90.00 90.00 120.00°
Space group R3 (No. 146, hexagonal axes)
Inequivalent atoms, fractional coordinates:
Ti: 0.0000 0.0000 0.0000 x3
Ti: 0.0000 0.0000 0.2170 x3
Ti: 0.0000 0.0000 0.5038 x3
V: 0.0000 0.0000 0.3592 x3
V: 0.0000 0.0000 0.8600 x3
Co: 0.0000 0.0000 0.7216 x3
P: 0.0013 0.7065 0.1099 x9
P: 0.0413 0.3740 0.2795 x9
O: 0.0054 0.2039 0.6757 x9
O: 0.0092 0.1778 0.2845 x9
O: 0.0218 0.8314 0.7912 x9
O: 0.0272 0.8272 0.1699 x9
O: 0.1447 0.6743 0.7141 x9
O: 0.1508 0.4728 0.2172 x9
O: 0.1678 0.4824 0.5996 x9
O: 0.1686 0.6826 0.1002 x9


Crystalline SrAlN2F at its relaxed geometry. Source: Alexandria, functional PBEsol.

Computed properties:
uncorrected formation energy	-1.3484	eV per atom

Cell: 3.742 3.742 4.250 Å, 90.00 90.00 90.00°
Space group P4/mmm (No. 123)
Inequivalent atoms, fractional coordinates:
Sr: 0.000 0.000 0.000 x1
Al: 0.500 0.500 0.500 x1
N: 0.000 0.500 0.500 x2
F: 0.500 0.500 0.000 x1


Crystalline Li2WAuS at its relaxed geometry. Source: Alexandria, functional PBEsol.

Computed properties:
uncorrected formation energy	0.6931	eV per atom

Cell: 4.204 4.204 5.025 Å, 90.00 90.00 90.00°
Space group P4/mmm (No. 123)
Inequivalent atoms, fractional coordinates:
Li: 0.000 0.500 0.000 x2
W: 0.000 0.000 0.500 x1
Au: 0.500 0.500 0.500 x1
S: 0.500 0.500 0.000 x1


Crystalline Nb3Cl5O2 at its relaxed geometry. Source: Alexandria, functional PBEsol.

Computed properties:
uncorrected formation energy	-1.6692	eV per atom

Cell: 8.096 14.574 6.677 Å, 90.00 90.00 90.00°
Space group Pnnm (No. 58)
Inequivalent atoms, fractional coordinates:
Nb: 0.026 0.135 0.000 x4
Nb: 0.241 0.240 0.212 x8
Cl: 0.000 0.000 0.241 x4
Cl: 0.174 0.612 0.500 x4
Cl: 0.206 0.359 0.500 x4
Cl: 0.208 0.373 0.000 x4
Cl: 0.226 0.630 0.000 x4
O: 0.010 0.773 0.223 x8


Crystalline SnAsPSe2 at its relaxed geometry. Source: Alexandria, functional PBEsol.

Computed properties:
relative energy among the computed polymorphs	4.07	eV/f.u.
uncorrected formation energy	1.0849	eV per atom

Cell: 5.092 5.092 5.180 Å, 90.00 90.00 90.00°
Space group P4/mmm (No. 123)
Inequivalent atoms, fractional coordinates:
Sn: 0.000 0.000 0.000 x1
As: 0.000 0.000 0.500 x1
P: 0.500 0.500 0.500 x1
Se: 0.000 0.500 0.000 x2


Crystalline K3LuF6 at its relaxed geometry. Source: Alexandria, functional PBEsol.

Computed properties:
uncorrected formation energy	-3.3897	eV per atom

Cell: 6.216 6.465 10.736 Å, 90.00 124.47 90.00°
Space group P2_1/c (No. 14)
Inequivalent atoms, fractional coordinates:
K: 0.000 0.000 0.000 x2
K: 0.224 0.053 0.743 x4
Lu: 0.500 0.000 0.500 x2
F: 0.179 0.178 0.452 x4
F: 0.256 0.736 0.426 x4
F: 0.395 0.058 0.279 x4


Crystalline SrCd2P at its relaxed geometry. Source: Alexandria, functional PBEsol.

Cell: 4.3270 4.3270 19.4033 Å, 90.00 90.00 120.00°
Space group R-3m (No. 166, hexagonal axes)
Inequivalent atoms, fractional coordinates:
Sr: 0.0000 0.0000 0.0000 x3
Cd: 0.0000 0.0000 0.2229 x6
P: 0.0000 0.0000 0.5000 x3


Crystalline LiMoOs2 at its relaxed geometry. Source: Alexandria, functional PBEsol.

Computed properties:
relative energy among the computed polymorphs	0.80	eV/f.u.

Cell: 3.705 3.705 7.924 Å, 90.00 90.00 90.00°
Space group I-4m2 (No. 119)
Inequivalent atoms, fractional coordinates:
Li: 0.000 0.000 0.000 x2
Mo: 0.000 0.500 0.250 x2
Os: 0.000 0.000 0.500 x2
Os: 0.000 0.500 0.750 x2


Crystalline KBa2Sr at its relaxed geometry. Source: Alexandria, functional PBEsol.

Computed properties:
relative energy among the computed polymorphs	0.02	eV/f.u.

Cell: 4.686 6.992 14.346 Å, 90.00 90.00 90.00°
Space group Cmmm (No. 65)
Inequivalent atoms, fractional coordinates:
K: 0.000 0.000 0.000 x2
Ba: 0.000 0.500 0.262 x4
Sr: 0.000 0.000 0.500 x2


Energy in eV for the cell shown, matching the order above: -259.1 -31.5 -58.7 -887.5 -31.7 -22.6 -278.8 -17.4 -107.5 -32.0 -73.5 -14.1